[1]
DFT (PBE) results for an optimized crystal structure of Er2H2IBr3.

The structure in POSCAR format:
```
Er2H2IBr3
1.0
-3.556 1.372 -0.466
1.315 -0.765 3.525
5.327 14.178 1.090
H I Er Br
2 1 2 3
Cartesian
3.676 10.551 3.010
1.332 3.546 0.273
4.716 12.553 0.965
-0.595 4.217 1.138
2.036 11.221 1.676
3.305 8.797 0.676
0.360 1.727 2.331
1.688 5.261 2.603
```

VASP energy = -4.216 eV per atom
magnetization = 0.000 μB per formula unit
space-group type = P3m1 (156)



[2]
DFT (PBE) results for an optimized crystal structure of LaBeCoP2.

The structure in POSCAR format:
```
LaBeCoP2
1.0
-2.393 4.671 3.178
-5.373 0.284 2.948
5.046 -3.383 -0.856
P La Co Be
2 1 1 1
Cartesian
0.493 1.176 1.818
-1.723 2.590 3.566
-2.105 -0.311 2.578
-3.883 2.477 3.063
0.000 0.000 0.000
```

VASP energy = -6.196 eV per atom
magnetization = 0.011 μB per formula unit
space-group type = I-4m2 (119)



[3]
DFT (PBE) results for an optimized crystal structure of PmWN3.

The structure in POSCAR format:
```
PmWN3
1.0
3.488 0.000 0.000
0.000 6.525 0.000
-1.743 -0.857 6.573
Pm N W
2 6 2
Cartesian
0.872 1.656 5.032
0.873 4.012 1.541
0.872 -0.061 1.343
2.617 4.440 3.088
2.617 2.377 0.870
-0.872 3.291 5.703
0.872 5.729 5.231
-0.872 1.228 3.485
-0.872 4.922 4.839
2.616 0.746 1.734
```

VASP energy = -9.412 eV per atom
magnetization = 0.000 μB per formula unit
space-group type = C2/m (12)